Record 1
! Dy4YEr4 | Alexandria | PBE-GGA | relaxed; values from VASP
! Energy of formation from the pure elements = 0.02 eV per atom
&SYSTEM
  ibrav = 0, nat = 9, ntyp = 3
/
ATOMIC_SPECIES
Dy 162.50 Dy.upf
Y 88.91 Y.upf
Er 167.26 Er.upf
CELL_PARAMETERS angstrom
-3.913 -0.845 -2.965
-3.570 -6.619 2.414
-6.305 3.598 3.111
ATOMIC_POSITIONS crystal
Dy 0.667 0.333 0.333
Dy 0.333 0.667 0.667
Dy 0.000 0.667 0.333
Dy 0.000 0.333 0.667
Y 0.000 0.000 0.000
Er 0.667 0.666 0.000
Er 0.333 0.334 0.000
Er 0.667 0.000 0.666
Er 0.333 0.000 0.334



Record 2
! Be4ReBr | Alexandria | PBE-GGA | relaxed; values from VASP
! E_form (uncorrected) = 0.471 eV/atom
&SYSTEM
  ibrav = 0, nat = 6, ntyp = 3
/
ATOMIC_SPECIES
Be 9.01 Be.upf
Re 186.21 Re.upf
Br 79.90 Br.upf
CELL_PARAMETERS angstrom
-3.165 -3.233 0.000
-3.136 -0.096 3.260
-4.297 1.041 -0.963
ATOMIC_POSITIONS crystal
Be 0.886 0.371 0.371
Be 0.371 0.371 0.886
Be 0.371 0.886 0.371
Be 0.371 0.371 0.371
Re 0.000 0.000 0.000
Br 0.750 0.750 0.750



> What is the formula in the first record?

Dy4YEr4



Please write out number 2 again, unchanged.
! Be4ReBr | Alexandria | PBE-GGA | relaxed; values from VASP
! E_form (uncorrected) = 0.471 eV/atom
&SYSTEM
  ibrav = 0, nat = 6, ntyp = 3
/
ATOMIC_SPECIES
Be 9.01 Be.upf
Re 186.21 Re.upf
Br 79.90 Br.upf
CELL_PARAMETERS angstrom
-3.165 -3.233 0.000
-3.136 -0.096 3.260
-4.297 1.041 -0.963
ATOMIC_POSITIONS crystal
Be 0.886 0.371 0.371
Be 0.371 0.371 0.886
Be 0.371 0.886 0.371
Be 0.371 0.371 0.371
Re 0.000 0.000 0.000
Br 0.750 0.750 0.750



> Number 1 is which compound?

Dy4YEr4